Here is ZnP2HCl after structural relaxation from the Alexandria database. Energies are from PBE-GGA. Values from VASP.

The structure in Quantum ESPRESSO input format:
```
&SYSTEM
  ibrav = 0, nat = 5, ntyp = 4
/
ATOMIC_SPECIES
Zn 65.41 Zn.upf
P 30.97 P.upf
H 1.01 H.upf
Cl 35.45 Cl.upf
ATOMIC_POSITIONS crystal
Zn 0.000 0.000 0.000
P 0.000 0.500 0.000
P 0.500 0.000 0.000
H 0.500 0.500 0.500
Cl 0.000 0.000 0.500
CELL_PARAMETERS angstrom
4.678 0.000 0.000
0.000 4.678 0.000
0.000 0.000 5.188
```

Values from the calculation:
Total energy in eV/cell: -11.77
Space-group type: P4/mmm (123)
ρ in g/cm³: 2.4

Here is ZrPHCl2 after structural relaxation from the Alexandria database. Energies are from PBE-GGA. Values from VASP.

The structure in Quantum ESPRESSO input format:
```
&SYSTEM
  ibrav = 0, nat = 5, ntyp = 4
/
ATOMIC_SPECIES
Zr 91.22 Zr.upf
P 30.97 P.upf
H 1.01 H.upf
Cl 35.45 Cl.upf
ATOMIC_POSITIONS crystal
Zr 0.000 0.000 0.000
P 0.500 0.500 0.000
H 0.500 0.500 0.500
Cl 0.000 0.500 0.500
Cl 0.500 0.000 0.500
CELL_PARAMETERS angstrom
4.758 0.000 0.000
0.000 4.758 0.000
0.000 0.000 3.393
```

Values from the calculation:
Total energy in eV/cell: -20.59
Space-group type: P4/mmm (123)
ρ in g/cm³: 4.2

Energy above the most stable polymorph in this dataset / meV/atom: 663, 268